No. 1
6
Lattice="4.0625 0.0000 -0.0405 0.0000 3.0113 0.0000 -2.2250 0.0000 4.7265" Properties=species:S:1:pos:R:3 comment="SiB2, optimized geometry, DFT PBE-GGA" vol_a3_per_cell=57.6 e_form_raw_ev_per_atom=0.41 de_polymorph_mev_per_atom=219 pbc="T T T"
Si 0.7146 0.0000 4.2945
Si 1.8271 1.5057 1.9312
B 0.4113 0.0000 2.2285
B -0.7012 1.5057 4.5918
B 0.7301 0.0000 0.4504
B -0.3824 1.5057 2.8136

---

No. 2
9
Lattice="3.8546 0.0000 0.0000 0.0000 6.0848 0.5236 -1.9273 -2.3000 5.3124" Properties=species:S:1:pos:R:3 comment="Ir4Os2Rh3, optimized geometry, DFT PBE-GGA" vol_a3_per_cell=129.2 de_polymorph_mev_per_atom=0 pbc="T T T"
Ir 1.9273 1.7330 0.7596
Ir 1.9273 2.8124 3.3301
Ir 0.0000 2.0518 5.0763
Ir 0.0000 0.9724 2.5058
Os 0.0000 4.5702 4.0080
Os 1.9273 -0.7854 1.8279
Rh 1.9273 0.2273 4.2986
Rh 0.0000 3.5575 1.5373
Rh 0.0000 0.0000 0.0000

---

No. 3
4
Lattice="-3.3083 0.9020 -1.1801 -2.8478 -2.0935 0.8114 -3.8300 5.7845 9.5859" Properties=species:S:1:pos:R:3 comment="LaSmHo2, optimized geometry, DFT PBE-GGA" vol_a3_per_cell=132.6 de_polymorph_mev_per_atom=1 pbc="T T T"
La -4.1051 -0.7906 -0.2399
Sm -4.9904 2.2874 4.5943
Ho -3.3820 4.2269 7.1396
Ho -2.5016 1.1657 2.3318

---

No. 4
6
Lattice="1.4198 5.1450 -0.0028 -1.4198 5.1450 -0.0028 0.0000 1.7829 6.3615" Properties=species:S:1:pos:R:3 comment="Tc2Au, optimized geometry, DFT PBE-GGA" vol_a3_per_cell=93.0 de_polymorph_mev_per_atom=154 pbc="T T T"
Tc 0.0000 6.8410 1.7825
Tc 0.0000 10.8885 3.9041
Tc 0.0000 8.0093 4.2355
Tc 0.0000 4.4493 5.9005
Au 0.0000 10.2707 -0.0024
Au 0.0000 4.0376 2.1824

---

No. 5
4
Lattice="-1.2646 -3.3361 -2.4262 -1.2772 -2.0417 3.4731 -5.1037 0.9869 1.3031" Properties=species:S:1:pos:R:3 comment="LaTlCu2, optimized geometry, DFT PBE-GGA" vol_a3_per_cell=89.6 dft_energy_ev_per_atom=-3.98 pbc="T T T"
Cu -0.2579 -0.3798 0.6567
Cu -1.9528 -1.5624 -0.6701
La -2.7443 -0.5617 2.2027
Tl -5.8809 -2.4144 2.5488

---

No. 6
11
Lattice="-0.3722 -6.6547 1.1399 0.1378 -4.3321 -5.1900 7.7283 -4.0132 -0.8498" Properties=species:S:1:pos:R:3 comment="Sr2ZnSi2Au6, optimized geometry, DFT PBE-GGA" vol_a3_per_cell=310.1 e_form_raw_ev_per_atom=-0.38 pbc="T T T"
Sr 4.8433 -11.2151 -3.7247
Sr 2.6506 -3.7850 -1.1752
Zn 0.0000 0.0000 0.0000
Si 4.9258 -7.5530 -2.3744
Si 2.5682 -7.4470 -2.5255
Au 1.8984 -9.5631 -3.3558
Au 2.1163 -5.6670 -4.0232
Au 1.8177 -7.0268 -0.3173
Au 5.6762 -7.9733 -4.5826
Au 5.3776 -9.3330 -0.8766
Au 5.5955 -5.4369 -1.5440

---

No. 7
20
Lattice="3.9133 0.0000 0.0000 0.0000 7.2882 0.0000 0.0000 0.0000 14.8232" Properties=species:S:1:pos:R:3 comment="Np2S3, optimized geometry, DFT PBE-GGA" vol_a3_per_cell=422.8 e_form_raw_ev_per_atom=-1.47 pbc="T T T"
Np 2.9350 1.7636 8.0109
Np 2.9350 5.4076 14.2240
Np 0.9783 5.5246 6.8123
Np 0.9783 1.8805 0.5993
Np 2.9350 6.4194 3.1379
Np 2.9350 2.7754 4.2737
Np 0.9783 0.8687 11.6853
Np 0.9783 4.5128 10.5496
S 2.9350 7.2312 5.8477
S 2.9350 3.5871 1.5640
S 0.9783 0.0569 8.9756
S 0.9783 3.7010 13.2593
S 2.9350 6.1307 11.5456
S 2.9350 2.4866 10.6892
S 0.9783 1.1575 3.2776
S 0.9783 4.8016 4.1340
S 2.9350 4.5689 8.4667
S 2.9350 0.9248 13.7682
S 0.9783 2.7193 6.3566
S 0.9783 6.3634 1.0550

---

No. 8
4
Lattice="1.7187 0.0000 10.6645 -0.8594 1.4885 10.6645 -0.8594 -1.4885 10.6645" Properties=species:S:1:pos:R:3 comment="NbTeF2, optimized geometry, DFT PBE-GGA" vol_a3_per_cell=81.8 e_form_raw_ev_per_atom=-1.44 de_polymorph_mev_per_atom=0 pbc="T T T"
Nb 0.0000 0.0000 15.9967
Te 0.0000 0.0000 0.0000
F 0.0000 0.0000 28.1387
F 0.0000 0.0000 3.8548

---

What did the fifth record say?
4
Lattice="-1.2646 -3.3361 -2.4262 -1.2772 -2.0417 3.4731 -5.1037 0.9869 1.3031" Properties=species:S:1:pos:R:3 comment="LaTlCu2, optimized geometry, DFT PBE-GGA" vol_a3_per_cell=89.6 dft_energy_ev_per_atom=-3.98 pbc="T T T"
Cu -0.2579 -0.3798 0.6567
Cu -1.9528 -1.5624 -0.6701
La -2.7443 -0.5617 2.2027
Tl -5.8809 -2.4144 2.5488